# 1
# TmThNi, optimized geometry, DFT PBE
data_TmThNi
_cell_length_a 13.743
_cell_length_b 3.855
_cell_length_c 5.721
_cell_angle_alpha 90.00
_cell_angle_beta 99.65
_cell_angle_gamma 90.00
_symmetry_space_group_name_H-M 'C 1 2/m 1'
_symmetry_Int_Tables_number 12
loop_
_symmetry_equiv_pos_as_xyz
'x,y,z'
'-x,-y,-z'
'-x,y,-z'
'x,-y,z'
'x+1/2,y+1/2,z'
'-x+1/2,-y+1/2,-z'
'-x+1/2,y+1/2,-z'
'x+1/2,-y+1/2,z'
loop_
_atom_site_label
_atom_site_fract_x
_atom_site_fract_y
_atom_site_fract_z
Tm1 0.079 0.000 0.272
Th1 0.153 0.500 0.802
Ni1 0.231 0.500 0.349
# Energy above the lowest structure with this stoichiometry in kJ per mole of atoms: 3.78


# 2
# HfTa3Tc4, optimized geometry, DFT PBE
data_HfTa3Tc4
_cell_length_a 3.204
_cell_length_b 4.534
_cell_length_c 9.058
_cell_angle_alpha 90.00
_cell_angle_beta 90.00
_cell_angle_gamma 90.00
_symmetry_space_group_name_H-M 'P m m m'
_symmetry_Int_Tables_number 47
loop_
_symmetry_equiv_pos_as_xyz
'x,y,z'
'-x,-y,-z'
'-x,-y,z'
'x,y,-z'
'x,-y,-z'
'-x,y,z'
'-x,y,-z'
'x,-y,z'
loop_
_atom_site_label
_atom_site_fract_x
_atom_site_fract_y
_atom_site_fract_z
Hf1 0.000 0.000 0.000
Ta1 0.000 0.000 0.500
Ta2 0.000 0.500 0.251
Tc1 0.500 0.000 0.256
Tc2 0.500 0.500 0.000
Tc3 0.500 0.500 0.500
# E in eV per atom: -11.381


no.,calculated volume (Å³/cell),DOS at the Fermi energy (states/eV per cell)
1,298.8,14.2
2,131.6,4.9